[1]
Below is an optimized crystal structure of ZrScBr2, with properties calculated at the PBE level.

abc: 4.648 3.461 5.815
angles: 93.72 90.00 90.00
Fractional positions:
Sc: 0.500 0.250 0.250
Br: 0.000 0.527 0.502
Br: 0.000 0.973 0.998
Zr: 0.500 0.750 0.750

Summary:
energy	-5.064	eV/atom
energy above the lowest structure with this stoichiometry	52.6	kJ/mol of atoms
SG	P2/m, No. 10

***

[2]
Below is an optimized crystal structure of ZrScBr, with properties calculated at the PBE level.

abc: 5.374 5.374 9.769
angles: 60.99 60.99 35.31
Fractional positions:
Br: 0.613 0.613 0.278
Br: 0.993 0.993 0.047
Zr: 0.299 0.299 0.354
Zr: 0.774 0.774 0.925
Sc: 0.133 0.133 0.714
Sc: 0.448 0.448 0.603

Summary:
energy	-5.758	eV/atom
energy above the lowest structure with this stoichiometry	26.4	kJ/mol of atoms
SG	Cm, No. 8

***

[3]
Below is an optimized crystal structure of ZrScBr4, with properties calculated at the PBE level.

abc: 6.186 6.186 6.186
angles: 60.00 60.00 60.00
Last column: magnetic moment on the atom in μB.
Fractional positions:
Br: 0.375 0.375 0.875  0.15
Br: 0.875 0.375 0.375  0.15
Br: 0.375 0.375 0.375  0.15
Br: 0.375 0.875 0.375  0.15
Sc: 0.750 0.750 0.750  0.90
Zr: 0.000 0.000 0.000  1.44

Summary:
energy	-3.136	eV/atom
SG	F-43m, No. 216

***

[4]
Below is an optimized crystal structure of Zr4ScBr, with properties calculated at the PBE level.

abc: 5.952 5.952 5.952
angles: 60.00 60.00 60.00
Fractional positions:
Zr: 0.371 0.371 0.888
Zr: 0.371 0.371 0.371
Zr: 0.371 0.888 0.371
Zr: 0.888 0.371 0.371
Br: 0.750 0.750 0.750
Sc: 0.000 0.000 0.000

Summary:
energy	-6.627	eV/atom
SG	F-43m, No. 216

***

[5]
Below is an optimized crystal structure of ZrScBr2, with properties calculated at the PBE level.

abc: 6.179 6.179 6.179
angles: 148.69 131.96 58.47
Fractional positions:
Sc: 0.508 0.508 0.000
Zr: 0.242 0.742 0.500
Br: 0.023 0.023 0.000
Br: 0.727 0.227 0.500

Summary:
energy	-5.024	eV/atom
energy above the lowest structure with this stoichiometry	56.4	kJ/mol of atoms
SG	Imm2, No. 44

***

[6]
Below is an optimized crystal structure of ZrScBr, with properties calculated at the PBE level.

abc: 3.448 3.448 6.752
angles: 90.00 90.00 120.00
Fractional positions:
Sc: 0.333 0.667 0.332
Zr: 0.667 0.333 0.673
Br: 0.000 0.000 0.995

Summary:
energy	-6.032	eV/atom
energy above the lowest structure with this stoichiometry	0.0	kJ/mol of atoms
SG	P3m1, No. 156

***

[7]
Below is an optimized crystal structure of ZrScBr2, with properties calculated at the PBE level.

abc: 3.357 3.357 9.813
angles: 90.00 90.00 105.12
Fractional positions:
Zr: 0.500 0.500 0.742
Br: 0.000 0.000 0.933
Br: 0.500 0.500 0.321
Sc: 0.000 0.000 0.504

Summary:
energy	-5.410	eV/atom
energy above the lowest structure with this stoichiometry	19.2	kJ/mol of atoms
SG	Cmm2, No. 35

***

[8]
Below is an optimized crystal structure of ZrSc3Br, with properties calculated at the PBE level.

abc: 5.338 5.338 5.338
angles: 90.00 90.00 90.00
Fractional positions:
Sc: 0.000 0.000 0.500
Sc: 0.500 0.000 0.000
Sc: 0.000 0.500 0.000
Zr: 0.000 0.000 0.000
Br: 0.500 0.500 0.500

Summary:
energy	-5.187	eV/atom
energy above the lowest structure with this stoichiometry	62.3	kJ/mol of atoms
SG	Pm-3m, No. 221

***

[9]
Below is an optimized crystal structure of ZrScBr, with properties calculated at the PBE level.

abc: 7.094 6.943 3.263
angles: 79.15 73.99 26.86
Fractional positions:
Br: 0.999 0.999 0.001
Sc: 0.332 0.332 0.668
Zr: 0.668 0.668 0.332

Summary:
energy	-5.889	eV/atom
energy above the lowest structure with this stoichiometry	13.8	kJ/mol of atoms
SG	Fmm2, No. 42

***

[10]
Below is an optimized crystal structure of ZrScBr2, with properties calculated at the PBE level.

abc: 5.248 5.248 5.248
angles: 60.00 60.00 60.00
Last column: magnetic moment on the atom in μB.
Fractional positions:
Br: 0.000 0.000 0.000  0.07
Br: 0.250 0.250 0.250  0.07
Zr: 0.750 0.750 0.750  1.72
Sc: 0.500 0.500 0.500  1.17

Summary:
energy	-4.450	eV/atom
energy above the lowest structure with this stoichiometry	111.8	kJ/mol of atoms
SG	F-43m, No. 216

***

[11]
Below is an optimized crystal structure of ZrScBr, with properties calculated at the PBE level.

abc: 6.940 6.940 6.940
angles: 152.81 152.81 38.83
Fractional positions:
Br: 0.997 0.997 0.000
Zr: 0.671 0.671 0.000
Sc: 0.332 0.332 0.000

Summary:
energy	-5.891	eV/atom
energy above the lowest structure with this stoichiometry	13.6	kJ/mol of atoms
SG	I4mm, No. 107

***

[12]
Below is an optimized crystal structure of Se5Br, with properties calculated at the PBE level.

abc: 7.031 7.031 3.613
angles: 90.00 90.00 120.00
Last column: magnetic moment on the atom in μB.
Fractional positions:
Se: 0.500 0.500 0.500  0.03
Se: 0.000 0.500 0.500  0.03
Se: 0.667 0.333 0.000  0.00
Se: 0.500 0.000 0.500  0.03
Se: 0.333 0.667 0.000  0.00
Br: 0.000 0.000 0.000  0.31

Summary:
energy	-2.799	eV/atom
energy above the lowest structure with this stoichiometry	20.9	kJ/mol of atoms
SG	P6/mmm, No. 191

***

[13]
Below is an optimized crystal structure of SeBr4, with properties calculated at the PBE level.

abc: 10.929 10.929 32.045
angles: 90.00 90.00 120.00
Fractional positions:
Se: 0.756 0.777 0.089
Se: 0.979 0.223 0.589
Se: 0.333 0.667 0.282
Se: 0.777 0.756 0.589
Se: 0.000 0.000 0.701
Se: 0.926 0.536 0.892
Se: 0.464 0.390 0.892
Se: 0.244 0.021 0.589
Se: 0.390 0.464 0.392
Se: 0.223 0.979 0.089
Se: 0.074 0.610 0.392
Se: 0.000 0.000 0.201
Se: 0.021 0.244 0.089
Se: 0.610 0.074 0.892
Se: 0.536 0.926 0.392
Se: 0.667 0.333 0.782
Br: 0.787 0.982 0.642
Br: 0.405 0.163 0.048
Br: 0.054 0.782 0.434
Br: 0.839 0.282 0.839
Br: 0.410 0.938 0.937
Br: 0.982 0.787 0.142
Br: 0.004 0.191 0.239
Br: 0.161 0.442 0.339
Br: 0.623 0.580 0.639
Br: 0.377 0.957 0.139
Br: 0.782 0.054 0.934
Br: 0.241 0.837 0.548
Br: 0.434 0.323 0.343
Br: 0.667 0.333 0.938
Br: 0.809 0.812 0.239
Br: 0.191 0.004 0.739
Br: 0.018 0.806 0.642
Br: 0.272 0.218 0.934
Br: 0.590 0.527 0.437
Br: 0.677 0.110 0.343
Br: 0.580 0.623 0.139
Br: 0.566 0.890 0.843
Br: 0.605 0.120 0.743
Br: 0.812 0.809 0.739
Br: 0.185 0.783 0.045
Br: 0.728 0.946 0.434
Br: 0.217 0.402 0.045
Br: 0.938 0.410 0.437
Br: 0.188 0.996 0.239
Br: 0.213 0.194 0.142
Br: 0.996 0.188 0.739
Br: 0.442 0.161 0.839
Br: 0.110 0.677 0.843
Br: 0.402 0.217 0.545
Br: 0.890 0.566 0.343
Br: 0.598 0.815 0.045
Br: 0.880 0.485 0.743
Br: 0.043 0.420 0.139
Br: 0.473 0.062 0.437
Br: 0.120 0.605 0.243
Br: 0.806 0.018 0.142
Br: 0.837 0.241 0.048
Br: 0.718 0.558 0.839
Br: 0.282 0.839 0.339
Br: 0.558 0.718 0.339
Br: 0.527 0.590 0.937
Br: 0.815 0.598 0.545
Br: 0.062 0.473 0.937
Br: 0.194 0.213 0.642
Br: 0.957 0.377 0.639
Br: 0.946 0.728 0.934
Br: 0.395 0.515 0.243
Br: 0.515 0.395 0.743
Br: 0.323 0.434 0.843
Br: 0.163 0.405 0.548
Br: 0.420 0.043 0.639
Br: 0.333 0.667 0.438
Br: 0.000 0.000 0.043
Br: 0.485 0.880 0.243
Br: 0.759 0.595 0.048
Br: 0.218 0.272 0.434
Br: 0.595 0.759 0.548
Br: 0.000 0.000 0.543
Br: 0.783 0.185 0.545

Summary:
energy	-2.156	eV/atom
energy above the lowest structure with this stoichiometry	0.0	kJ/mol of atoms
SG	P31c, No. 159

***

Uncorrected formation energy: -195.8; -69.6; 266.0; 235.0; -180.3; -148.8; -329.3; 316.6; -107.6; 41.2; -108.0; 222.1; -58.2 (kJ/mol of formula units)